Entry 1:
VASP calculation (PBE) on crystalline Tl4NiHg at its relaxed geometry.

Calculated values
**E_form**: 0.5659 eV/atom
**Size of the total moment**: 0.10 μB per atom
**Theoretical density**: 9.9 Mg/m³
**DOS at the Fermi energy**: 1.600 states/eV per atom

Unit cell a=6.3349 b=6.3349 c=6.3349 alpha=60.00 beta=60.00 gamma=60.00
Closest atoms and distances in Å follow each position.
Fractional coordinates of all 6 atoms:
Tl 0.3755 0.3755 0.3755  6 Tl 3.15-3.18
Tl 0.3755 0.3755 0.8735  6 Tl 3.15-3.18
Tl 0.3755 0.8735 0.3755  6 Tl 3.15-3.18
Tl 0.8735 0.3755 0.3755  6 Tl 3.15-3.18
Ni 0.7500 0.7500 0.7500  12 Tl 3.71, 4 Hg 3.88
Hg 0.0000 0.0000 0.0000  12 Tl 3.72, 4 Ni 3.88

=====

Entry 2:
VASP calculation (PBE) on crystalline TlNi2Hg at its relaxed geometry.

Calculated values
**E_form**: 0.2746 eV/atom
**Size of the total moment**: 0.00 μB per atom
**Offset from the most stable computed form**: 5 meV/atom
**Theoretical density**: 13.3 Mg/m³
**DOS at the Fermi energy**: 0.614 states/eV per atom

Unit cell a=6.3847 b=6.3847 c=6.3847 alpha=90.00 beta=90.00 gamma=90.00
Closest atoms and distances in Å follow each position.
Fractional coordinates of all 16 atoms:
Tl 0.0000 0.0000 0.0000  8 Ni 2.76
Tl 0.0000 0.5000 0.5000  8 Ni 2.76
Tl 0.5000 0.0000 0.5000  8 Ni 2.76
Tl 0.5000 0.5000 0.0000  8 Ni 2.76
Ni 0.2500 0.2500 0.2500  4 Tl 2.76, 4 Hg 2.76
Ni 0.2500 0.2500 0.7500  4 Hg 2.76, 4 Tl 2.76
Ni 0.2500 0.7500 0.2500  4 Hg 2.76, 4 Tl 2.76
Ni 0.2500 0.7500 0.7500  4 Tl 2.76, 4 Hg 2.76
Ni 0.7500 0.2500 0.2500  4 Hg 2.76, 4 Tl 2.76
Ni 0.7500 0.2500 0.7500  4 Tl 2.76, 4 Hg 2.76
Ni 0.7500 0.7500 0.2500  4 Tl 2.76, 4 Hg 2.76
Ni 0.7500 0.7500 0.7500  4 Hg 2.76, 4 Tl 2.76
Hg 0.0000 0.0000 0.5000  8 Ni 2.76
Hg 0.0000 0.5000 0.0000  8 Ni 2.76
Hg 0.5000 0.0000 0.0000  8 Ni 2.76
Hg 0.5000 0.5000 0.5000  8 Ni 2.76

=====

Entry 3:
VASP calculation (PBE) on crystalline TlNi2Hg at its relaxed geometry.

Calculated values
**E_form**: 0.4915 eV/atom
**Size of the total moment**: 0.00 μB per atom
**Offset from the most stable computed form**: 221 meV/atom
**Theoretical density**: 11.9 Mg/m³
**DOS at the Fermi energy**: 0.556 states/eV per atom

Unit cell a=7.0897 b=7.0897 c=5.8091 alpha=90.00 beta=90.00 gamma=90.00
Closest atoms and distances in Å follow each position.
Fractional coordinates of all 16 atoms:
Tl 0.0000 0.0000 0.0000  4 Ni 2.61, 2 Hg 2.90
Tl 0.0000 0.5000 0.2500  4 Ni 2.61, 2 Hg 2.90
Tl 0.5000 0.0000 0.7500  4 Ni 2.61, 2 Hg 2.90
Tl 0.5000 0.5000 0.5000  4 Ni 2.61, 2 Hg 2.90
Ni 0.2491 0.2500 0.6250  2 Hg 2.61, 2 Tl 2.61, 2 Ni 2.90
Ni 0.2500 0.7491 0.8750  2 Hg 2.61, 2 Tl 2.61, 2 Ni 2.90
Ni 0.2500 0.7509 0.3750  2 Hg 2.61, 2 Tl 2.61, 2 Ni 2.90
Ni 0.2509 0.2500 0.1250  2 Hg 2.61, 2 Tl 2.61, 2 Ni 2.90
Ni 0.7491 0.7500 0.1250  2 Hg 2.61, 2 Tl 2.61, 2 Ni 2.90
Ni 0.7500 0.2491 0.3750  2 Hg 2.61, 2 Tl 2.61, 2 Ni 2.90
Ni 0.7500 0.2509 0.8750  2 Hg 2.61, 2 Tl 2.61, 2 Ni 2.90
Ni 0.7509 0.7500 0.6250  2 Hg 2.61, 2 Tl 2.61, 2 Ni 2.90
Hg 0.0000 0.0000 0.5000  4 Ni 2.61, 2 Tl 2.90
Hg 0.0000 0.5000 0.7500  4 Ni 2.61, 2 Tl 2.90
Hg 0.5000 0.0000 0.2500  4 Ni 2.61, 2 Tl 2.90
Hg 0.5000 0.5000 0.0000  4 Ni 2.61, 2 Tl 2.90

=====

Entry 4:
VASP calculation (PBE) on crystalline Tl2NiHg at its relaxed geometry.

Calculated values
**E_form**: 0.2327 eV/atom
**Size of the total moment**: 0.00 μB per atom
**Offset from the most stable computed form**: 72 meV/atom
**Theoretical density**: 11.5 Mg/m³
**DOS at the Fermi energy**: 0.490 states/eV per atom

Unit cell a=6.1250 b=3.7368 c=8.7799 alpha=90.00 beta=105.46 gamma=90.00
Closest atoms and distances in Å follow each position.
Fractional coordinates of all 8 atoms:
Tl 0.2327 0.0000 0.1996  3 Ni 2.69-2.70
Tl 0.2673 0.5000 0.8004  3 Ni 2.69-2.70
Tl 0.7327 0.5000 0.1996  3 Ni 2.69-2.70
Tl 0.7673 0.0000 0.8004  3 Ni 2.69-2.70
Ni 0.0000 0.5000 0.0000  6 Tl 2.69-2.70
Ni 0.5000 0.0000 0.0000  6 Tl 2.69-2.70
Hg 0.0000 0.0000 0.5000  6 Tl 3.29-3.32, 4 Hg 3.59
Hg 0.5000 0.5000 0.5000  6 Tl 3.29-3.32, 4 Hg 3.59

=====

Entry 5:
VASP calculation (PBE) on crystalline TlNiHg3 at its relaxed geometry.

Calculated values
**E_form**: 0.0955 eV/atom
**Size of the total moment**: 0.00 μB per atom
**Offset from the most stable computed form**: 0 meV/atom
**Theoretical density**: 10.8 Mg/m³
**DOS at the Fermi energy**: 0.638 states/eV per atom

Unit cell a=5.1030 b=5.1030 c=5.1030 alpha=90.00 beta=90.00 gamma=90.00
Closest atoms and distances in Å follow each position.
Fractional coordinates of all 5 atoms:
Tl 0.0000 0.0000 0.0000  12 Hg 3.61
Ni 0.5000 0.5000 0.5000  6 Hg 2.55
Hg 0.0000 0.5000 0.5000  2 Ni 2.55
Hg 0.5000 0.0000 0.5000  2 Ni 2.55
Hg 0.5000 0.5000 0.0000  2 Ni 2.55

=====

Entry 6:
VASP calculation (PBE) on crystalline TlNi2Hg at its relaxed geometry.

Calculated values
**E_form**: 0.2901 eV/atom
**Size of the total moment**: 0.13 μB per atom
**Offset from the most stable computed form**: 20 meV/atom
**Theoretical density**: 12.3 Mg/m³
**DOS at the Fermi energy**: 0.963 states/eV per atom

Unit cell a=3.1176 b=3.1176 c=7.2646 alpha=90.00 beta=90.00 gamma=90.00
Closest atoms and distances in Å follow each position.
Fractional coordinates of all 4 atoms:
Tl 0.0000 0.0000 0.0000  5 Ni 2.85-2.94, 4 Tl 3.12
Ni 0.0000 0.0000 0.5959  4 Ni 2.48, 4 Hg 2.77
Ni 0.5000 0.5000 0.7518  4 Ni 2.48
Hg 0.5000 0.5000 0.3658  5 Ni 2.77-2.80

=====

Entry 7:
VASP calculation (PBE) on crystalline Tl2NiHg at its relaxed geometry.

Calculated values
**E_form**: 0.4109 eV/atom
**Size of the total moment**: 0.00 μB per atom
**Offset from the most stable computed form**: 250 meV/atom
**Theoretical density**: 11.8 Mg/m³
**DOS at the Fermi energy**: 0.656 states/eV per atom

Unit cell a=7.2266 b=7.2266 c=7.2266 alpha=90.00 beta=90.00 gamma=90.00
Closest atoms and distances in Å follow each position.
Fractional coordinates of all 16 atoms:
Tl 0.0000 0.0000 0.0000  4 Tl 3.13, 4 Hg 3.13
Tl 0.0000 0.5000 0.5000  4 Hg 3.13, 4 Tl 3.13
Tl 0.2500 0.2500 0.2500  4 Tl 3.13, 4 Ni 3.13
Tl 0.2500 0.7500 0.7500  4 Tl 3.13, 4 Ni 3.13
Tl 0.5000 0.0000 0.5000  4 Hg 3.13, 4 Tl 3.13
Tl 0.5000 0.5000 0.0000  4 Hg 3.13, 4 Tl 3.13
Tl 0.7500 0.2500 0.7500  4 Tl 3.13, 4 Ni 3.13
Tl 0.7500 0.7500 0.2500  4 Tl 3.13, 4 Ni 3.13
Ni 0.0000 0.0000 0.5000  4 Hg 3.13, 4 Tl 3.13
Ni 0.0000 0.5000 0.0000  4 Hg 3.13, 4 Tl 3.13
Ni 0.5000 0.0000 0.0000  4 Hg 3.13, 4 Tl 3.13
Ni 0.5000 0.5000 0.5000  4 Hg 3.13, 4 Tl 3.13
Hg 0.2500 0.2500 0.7500  4 Tl 3.13, 4 Ni 3.13
Hg 0.2500 0.7500 0.2500  4 Tl 3.13, 4 Ni 3.13
Hg 0.7500 0.2500 0.2500  4 Tl 3.13, 4 Ni 3.13
Hg 0.7500 0.7500 0.7500  4 Tl 3.13, 4 Ni 3.13

=====

Entry 8:
VASP calculation (PBE) on crystalline Tl2NiHg at its relaxed geometry.

Calculated values
**E_form**: 0.3870 eV/atom
**Size of the total moment**: 0.00 μB per atom
**Offset from the most stable computed form**: 226 meV/atom
**Theoretical density**: 11.9 Mg/m³
**DOS at the Fermi energy**: 0.479 states/eV per atom

Unit cell a=7.2033 b=7.2033 c=7.2033 alpha=90.00 beta=90.00 gamma=90.00
Closest atoms and distances in Å follow each position.
Fractional coordinates of all 16 atoms:
Tl 0.2500 0.2500 0.2500  4 Hg 3.12, 4 Ni 3.12
Tl 0.2500 0.2500 0.7500  4 Ni 3.12, 4 Hg 3.12
Tl 0.2500 0.7500 0.2500  4 Ni 3.12, 4 Hg 3.12
Tl 0.2500 0.7500 0.7500  4 Hg 3.12, 4 Ni 3.12
Tl 0.7500 0.2500 0.2500  4 Ni 3.12, 4 Hg 3.12
Tl 0.7500 0.2500 0.7500  4 Hg 3.12, 4 Ni 3.12
Tl 0.7500 0.7500 0.2500  4 Hg 3.12, 4 Ni 3.12
Tl 0.7500 0.7500 0.7500  4 Ni 3.12, 4 Hg 3.12
Ni 0.0000 0.0000 0.0000  8 Tl 3.12
Ni 0.0000 0.5000 0.5000  8 Tl 3.12
Ni 0.5000 0.0000 0.5000  8 Tl 3.12
Ni 0.5000 0.5000 0.0000  8 Tl 3.12
Hg 0.0000 0.0000 0.5000  8 Tl 3.12
Hg 0.0000 0.5000 0.0000  8 Tl 3.12
Hg 0.5000 0.0000 0.0000  8 Tl 3.12
Hg 0.5000 0.5000 0.5000  8 Tl 3.12

=====

Entry 9:
VASP calculation (PBE) on crystalline TlNi2Hg at its relaxed geometry.

Calculated values
**E_form**: 0.5006 eV/atom
**Size of the total moment**: 0.00 μB per atom
**Offset from the most stable computed form**: 231 meV/atom
**Theoretical density**: 12.8 Mg/m³
**DOS at the Fermi energy**: 1.002 states/eV per atom

Unit cell a=6.4638 b=6.4638 c=6.4638 alpha=90.00 beta=90.00 gamma=90.00
Closest atoms and distances in Å follow each position.
Fractional coordinates of all 16 atoms:
Tl 0.0000 0.0000 0.0000  4 Hg 2.80, 4 Ni 2.80
Tl 0.0000 0.5000 0.5000  4 Hg 2.80, 4 Ni 2.80
Tl 0.5000 0.0000 0.5000  4 Hg 2.80, 4 Ni 2.80
Tl 0.5000 0.5000 0.0000  4 Hg 2.80, 4 Ni 2.80
Ni 0.0000 0.0000 0.5000  4 Ni 2.80, 4 Hg 2.80
Ni 0.0000 0.5000 0.0000  4 Hg 2.80, 4 Ni 2.80
Ni 0.2500 0.2500 0.7500  4 Tl 2.80, 4 Ni 2.80
Ni 0.2500 0.7500 0.2500  4 Tl 2.80, 4 Ni 2.80
Ni 0.5000 0.0000 0.0000  4 Hg 2.80, 4 Ni 2.80
Ni 0.5000 0.5000 0.5000  4 Hg 2.80, 4 Ni 2.80
Ni 0.7500 0.2500 0.2500  4 Tl 2.80, 4 Ni 2.80
Ni 0.7500 0.7500 0.7500  4 Tl 2.80, 4 Ni 2.80
Hg 0.2500 0.2500 0.2500  4 Tl 2.80, 4 Ni 2.80
Hg 0.2500 0.7500 0.7500  4 Tl 2.80, 4 Ni 2.80
Hg 0.7500 0.2500 0.7500  4 Tl 2.80, 4 Ni 2.80
Hg 0.7500 0.7500 0.2500  4 Tl 2.80, 4 Ni 2.80

=====

Entry 10:
VASP calculation (PBE) on crystalline Tl2NiHg at its relaxed geometry.

Calculated values
**E_form**: 0.1851 eV/atom
**Size of the total moment**: 0.00 μB per atom
**Offset from the most stable computed form**: 24 meV/atom
**Theoretical density**: 11.5 Mg/m³
**DOS at the Fermi energy**: 0.780 states/eV per atom

Unit cell a=14.4789 b=3.1763 c=4.3921 alpha=90.00 beta=107.60 gamma=90.00
Closest atoms and distances in Å follow each position.
Fractional coordinates of all 8 atoms:
Tl 0.0000 0.0000 0.0000  2 Ni 3.09, 4 Tl 3.18-3.40, 4 Hg 3.32
Tl 0.1874 0.0000 0.6876  4 Ni 2.71
Tl 0.5000 0.5000 0.0000  2 Ni 3.09, 4 Tl 3.18-3.40, 4 Hg 3.32
Tl 0.6874 0.5000 0.6876  4 Ni 2.71
Ni 0.1919 0.5000 0.1919  4 Tl 2.71, 2 Hg 2.82
Ni 0.6919 0.0000 0.1919  4 Tl 2.71, 2 Hg 2.82
Hg 0.3609 0.0000 0.3605  2 Ni 2.82
Hg 0.8609 0.5000 0.3605  2 Ni 2.82

=====

Entry 11:
VASP calculation (PBE) on crystalline Tl3NiHg at its relaxed geometry.

Calculated values
**E_form**: 0.9035 eV/atom
**Size of the total moment**: 0.00 μB per atom
**Offset from the most stable computed form**: 833 meV/atom
**Theoretical density**: 7.8 Mg/m³
**DOS at the Fermi energy**: 0.990 states/eV per atom

Unit cell a=5.7078 b=5.7078 c=5.7078 alpha=90.00 beta=90.00 gamma=90.00
Closest atoms and distances in Å follow each position.
Fractional coordinates of all 5 atoms:
Tl 0.0000 0.0000 0.5000  2 Hg 2.85
Tl 0.0000 0.5000 0.0000  2 Hg 2.85
Tl 0.5000 0.0000 0.0000  2 Hg 2.85
Ni 0.5000 0.5000 0.5000  12 Tl 4.04
Hg 0.0000 0.0000 0.0000  6 Tl 2.85

=====

Entry 12:
VASP calculation (PBE) on crystalline TlNi2Hg2 at its relaxed geometry.

Calculated values
**E_form**: 0.3370 eV/atom
**Size of the total moment**: 0.00 μB per atom
**Offset from the most stable computed form**: 126 meV/atom
**Theoretical density**: 12.8 Mg/m³
**DOS at the Fermi energy**: 0.372 states/eV per atom

Unit cell a=7.9537 b=7.9537 c=2.9725 alpha=90.00 beta=90.00 gamma=90.00
Closest atoms and distances in Å follow each position.
Fractional coordinates of all 10 atoms:
Tl 0.0000 0.0000 0.0000  2 Tl 2.97, 4 Hg 3.03
Tl 0.5000 0.5000 0.0000  2 Tl 2.97, 4 Hg 3.03
Ni 0.1434 0.3566 0.5000  6 Hg 2.76-2.77, 2 Ni 2.97
Ni 0.3566 0.8566 0.5000  6 Hg 2.76-2.77, 2 Ni 2.97
Ni 0.6434 0.1434 0.5000  6 Hg 2.76-2.77, 2 Ni 2.97
Ni 0.8566 0.6434 0.5000  6 Hg 2.76-2.77, 2 Ni 2.97
Hg 0.1490 0.6490 0.0000  6 Ni 2.76-2.77, 2 Hg 2.97, 2 Tl 3.03
Hg 0.3510 0.1490 0.0000  6 Ni 2.76-2.77, 2 Hg 2.97, 2 Tl 3.03
Hg 0.6490 0.8510 0.0000  6 Ni 2.76-2.77, 2 Hg 2.97, 2 Tl 3.03
Hg 0.8510 0.3510 0.0000  6 Ni 2.76-2.77, 2 Hg 2.97, 2 Tl 3.03

=====

Asked for total DFT energy (no corrections) across the records above, the calculation gives -2.025, -3.283, -3.066, -2.471, -1.715, -3.268, -2.293, -2.317, -3.057, -2.519, -1.733, -2.569 eV per atom in order.